# 1
Compound: Na2HfBi2
Source: Alexandria via LeMat-Bulk
Functional: PBE-GGA
Structure: relaxed

```
5
Lattice="-2.904 -2.494 1.034 1.513 -0.246 3.657 -5.487 5.215 4.771" Properties=species:S:1:pos:R:3 pbc="T T T"
Na -4.543 0.676 4.075
Na -2.334 1.800 5.387
Bi -5.254 2.570 6.647
Bi -1.623 -0.095 2.815
Hf 0.000 0.000 0.000
```

The density of states at the Fermi level is 0.351 states/eV/atom. The value obtained for the formation energy is 0.4 eV per formula unit. As for the space-group type: No. 139.

# 2
Compound: Na6HfBi4
Source: Alexandria via LeMat-Bulk
Functional: PBE-GGA
Structure: relaxed

```
22
Lattice="6.469 0.000 0.000 0.000 9.608 -5.547 0.000 0.000 11.094" Properties=species:S:1:pos:R:3 pbc="T T T"
Bi 2.410 3.203 5.547
Bi 2.551 7.833 2.473
Bi 5.785 1.775 8.020
Bi 2.551 3.550 0.000
Bi 2.551 7.833 -2.473
Bi 5.645 6.405 0.000
Bi 5.785 1.775 3.074
Bi 5.785 6.058 5.547
Na 4.119 4.836 -2.717
Na 5.800 2.774 0.000
Na 5.800 8.221 3.145
Na 5.800 8.221 -3.145
Na 4.119 9.543 0.000
Na 2.566 1.387 2.402
Na 2.566 6.834 5.547
Na 4.119 4.836 2.717
Na 0.884 4.772 2.830
Na 0.884 0.065 5.547
Na 0.884 4.772 8.265
Na 2.566 1.387 8.692
Hf 2.180 6.405 0.000
Hf 5.414 3.203 5.547
```

The density of states at the Fermi level is 0.561 states/eV/atom. The value obtained for the formation energy is -2.9 eV per formula unit. As for the space-group type: No. 186.